a.
The following is a PBE calculation of a relaxed structure of NaDyFeTe3, from OQMD.

Space-group type: Cmcm (63)

Lattice parameters (Å, degrees): 7.657 7.657 11.319 90.00 90.00 147.91
Positions (direct):
1 Na 0.244 0.756 0.750
2 Na 0.756 0.244 0.250
3 Dy 0.000 0.000 0.000
4 Dy 0.000 0.000 0.500
5 Fe 0.470 0.530 0.250
6 Fe 0.530 0.470 0.750
7 Te 0.083 0.917 0.250
8 Te 0.360 0.640 0.070
9 Te 0.360 0.640 0.430
10 Te 0.640 0.360 0.570
11 Te 0.640 0.360 0.930
12 Te 0.917 0.083 0.750

=====

b.
The following is a PBE calculation of a relaxed structure of NaDyFeTe3, from OQMD.

Space-group type: Pnma (62)

Lattice parameters (Å, degrees): 11.993 4.383 12.928 90.00 90.00 90.00
Positions (direct):
1 Na 0.197 0.250 0.013
2 Na 0.303 0.750 0.513
3 Na 0.697 0.250 0.487
4 Na 0.803 0.750 0.987
5 Dy 0.026 0.250 0.306
6 Dy 0.474 0.750 0.806
7 Dy 0.526 0.250 0.194
8 Dy 0.974 0.750 0.694
9 Fe 0.250 0.250 0.715
10 Fe 0.250 0.750 0.215
11 Fe 0.750 0.250 0.785
12 Fe 0.750 0.750 0.285
13 Te 0.051 0.750 0.138
14 Te 0.099 0.250 0.569
15 Te 0.214 0.750 0.822
16 Te 0.286 0.250 0.322
17 Te 0.401 0.750 0.069
18 Te 0.449 0.250 0.638
19 Te 0.551 0.750 0.362
20 Te 0.599 0.250 0.931
21 Te 0.714 0.750 0.678
22 Te 0.786 0.250 0.178
23 Te 0.901 0.750 0.431
24 Te 0.949 0.250 0.862

=====

In terms of stability, a leads; the second structure lies 0.046 eV/atom higher.

=====

a.
The following is a PBE calculation of a relaxed structure of DyFeTc, from OQMD.

Space-group type: F-43m (216)

Lattice parameters (Å, degrees): 4.444 4.444 4.444 60.00 60.00 60.00
Positions (direct):
1 Dy 0.000 0.000 0.000
2 Fe 0.750 0.750 0.750
3 Tc 0.250 0.250 0.250

=====

b.
The following is a PBE calculation of a relaxed structure of DyFeTc, from OQMD.

Space-group type: F-43m (216)

Lattice parameters (Å, degrees): 4.294 4.294 4.294 60.00 60.00 60.00
Positions (direct):
1 Dy 0.000 0.000 0.000
2 Fe 0.250 0.250 0.250
3 Tc 0.500 0.500 0.500

=====

In terms of stability, b leads; the second structure lies 0.815 eV/atom higher.